1) Density functional theory data (GGA-PBE) for CaThAu4 after structural relaxation.

Structure (POSCAR):
```
CaThAu4
1.0
5.5807 0.0000 0.0000
0.0000 4.2853 0.0000
-2.3657 0.0000 6.6036
Ca Th Au
1 1 4
direct
0.0000 0.0000 0.0000
0.5000 0.5000 0.5000
0.0645 0.5000 0.7191
0.4329 0.0000 0.7805
0.5671 0.0000 0.2195
0.9355 0.5000 0.2809
```

Results
The value obtained for the density is 11.1 g cm⁻³. The calculation puts the spin magnetization at 0.000 μB/atom.

***

2) Density functional theory data (GGA-PBE) for CaThAu4 after structural relaxation.

Structure (POSCAR):
```
CaThAu4
1.0
4.8153 0.0000 0.0000
2.3846 5.4175 0.0000
2.4015 0.6297 5.3762
Ca Th Au
1 1 4
direct
0.0000 0.0000 0.0000
0.9703 0.5304 0.5304
0.3150 0.9322 0.4362
0.3164 0.4367 0.9319
0.6548 0.1286 0.5616
0.6568 0.5611 0.1292
```

Results
The value obtained for the density is 12.6 g cm⁻³. The calculation puts the spin magnetization at 0.000 μB/atom.

***

Short version: 2), 1), most stable first.

***

1) Density functional theory data (GGA-PBE) for CaTi3Au after structural relaxation.

Structure (POSCAR):
```
CaTi3Au
1.0
4.6010 0.0000 0.0000
0.0000 4.6010 0.0000
0.0000 0.0000 4.6010
Ca Ti Au
1 3 1
direct
0.0000 0.0000 0.0000
0.0000 0.0000 0.5000
0.0000 0.5000 0.0000
0.5000 0.0000 0.0000
0.5000 0.5000 0.5000
```

Results
The value obtained for the density is 6.5 g cm⁻³. The calculation puts the spin magnetization at 0.494 μB/atom.

***

2) Density functional theory data (GGA-PBE) for CaTi3Au after structural relaxation.

Structure (POSCAR):
```
CaTi3Au
1.0
5.0116 0.0000 0.0000
0.0000 5.0116 0.0000
0.0000 0.0000 5.0116
Ca Ti Au
1 3 1
direct
0.0000 0.0000 0.0000
0.0000 0.5000 0.5000
0.5000 0.0000 0.5000
0.5000 0.5000 0.0000
0.5000 0.5000 0.5000
```

Results
The value obtained for the density is 5.0 g cm⁻³. The calculation puts the spin magnetization at 0.217 μB/atom.

***

Short version: 2), 1), most stable first.